First-principles (PBE-GGA) data for a geometry-optimized CeDyNp2N4 structure, as listed in the Alexandria database.

Summary:
As for the space-group type: P2/m, No. 10. Its uncorrected formation energy is -10.73 eV/f.u.

Geometry as extended XYZ:
```
8
Lattice="6.021 0.000 0.000 0.000 3.484 0.000 -2.019 0.000 5.714" Properties=species:S:1:pos:R:3 pbc="T T T"
Ce 0.000 0.000 0.000
Dy -1.010 1.742 2.857
Np 2.001 0.000 2.857
Np 3.011 1.742 0.000
N 0.089 0.000 4.274
N 1.079 1.742 1.510
N 2.923 1.742 4.204
N 3.913 0.000 1.440
```